The following is a PBEsol calculation of crystalline Ni8B3SbO15 at its relaxed geometry, from Alexandria.

CIF file:
```
data_Ni8B3SbO15
_cell_length_a 6.099
_cell_length_b 8.000
_cell_length_c 10.985
_cell_angle_alpha 104.48
_cell_angle_beta 94.31
_cell_angle_gamma 101.96
_space_group_name_H-M_alt 'P -1'
_space_group_IT_number 2
_space_group_name_Hall '-P 1'
loop_
_atom_site_label
_atom_site_type_symbol
_atom_site_fract_x
_atom_site_fract_y
_atom_site_fract_z
Ni1 Ni 0.000 0.000 0.000
Ni2 Ni 0.000 0.000 0.500
Ni3 Ni 0.000 0.500 0.000
Ni4 Ni 0.051 0.329 0.212
Ni5 Ni 0.283 0.001 0.785
Ni6 Ni 0.331 0.325 0.499
Ni7 Ni 0.332 0.835 0.002
Ni8 Ni 0.333 0.333 0.000
Ni9 Ni 0.385 0.668 0.215
Ni10 Ni 0.500 0.000 0.500
B1 B 0.105 0.319 0.744
B2 B 0.227 0.017 0.262
B3 B 0.439 0.651 0.744
Sb1 Sb 0.177 0.675 0.500
O1 O 0.008 0.261 0.028
O2 O 0.033 0.581 0.197
O3 O 0.061 0.069 0.198
O4 O 0.073 0.267 0.608
O5 O 0.089 0.407 0.406
O6 O 0.238 0.926 0.596
O7 O 0.257 0.067 0.395
O8 O 0.272 0.266 0.802
O9 O 0.300 0.749 0.803
O10 O 0.328 0.073 0.970
O11 O 0.341 0.596 0.030
O12 O 0.364 0.917 0.198
O13 O 0.393 0.401 0.197
O14 O 0.407 0.596 0.608
O15 O 0.426 0.737 0.404
```

Summary:
D(E_F) = 13.104 states/eV/cell
uncorrected formation energy = -1.1825 eV per atom
energy = -6.872 eV/atom
crystal system = triclinic